1.
PuTh5Bi5: optimized geometry, GGA-PBE.

```
PuTh5Bi5
1.0
6.408 0.000 0.000
-3.204 7.116 -0.086
0.000 -2.765 8.492
Pu Th Bi
1 5 5
direct
0.000 0.000 0.000
0.662 0.324 0.343
0.644 0.287 0.786
0.000 0.000 0.500
0.356 0.713 0.214
0.338 0.676 0.657
0.821 0.642 0.150
0.835 0.670 0.673
0.500 0.000 0.000
0.165 0.330 0.327
0.179 0.358 0.850
```

Output
Volume = 35.1 Å³ per atom
Uncorrected energy = -6.76 eV/atom
SG = C2/m (12)



2.
Fe3HCl: optimized geometry, GGA-PBE.

```
Fe3HCl
1.0
-0.242 2.851 2.567
-1.401 -2.460 2.600
3.571 -0.772 1.194
H Fe Cl
1 3 1
direct
0.000 0.000 0.000
0.000 0.500 0.000
0.000 0.000 0.500
0.500 0.000 0.000
0.500 0.500 0.500
```

Output
Polymorph energy (0 for the lowest one) = 0.0 meV/atom
Volume = 11.4 Å³ per atom
Uncorrected energy = -5.61 eV/atom
SG = Pm-3m (221)



3.
ZrScH3: optimized geometry, GGA-PBE.

```
ZrScH3
1.0
3.724 0.000 0.000
0.000 3.724 0.000
0.000 0.000 3.724
Sc H Zr
1 3 1
direct
0.000 0.000 0.000
0.000 0.500 0.000
0.000 0.000 0.500
0.500 0.000 0.000
0.500 0.500 0.500
```

Output
Polymorph energy (0 for the lowest one) = 323.6 meV/atom
Volume = 10.3 Å³ per atom
Uncorrected energy = -5.14 eV/atom
SG = Pm-3m (221)



4.
Y3ErTe4: optimized geometry, GGA-PBE.

```
Y3ErTe4
1.0
4.306 0.000 0.000
0.000 7.570 -0.034
0.000 -2.419 7.173
Y Er Te
3 1 4
direct
0.000 0.000 0.500
0.500 0.500 0.500
0.000 0.500 0.000
0.500 0.000 0.000
0.000 0.247 0.247
0.500 0.751 0.249
0.000 0.753 0.753
0.500 0.249 0.751
```

Output
Polymorph energy (0 for the lowest one) = 2.7 meV/atom
Volume = 29.2 Å³ per atom
Uncorrected energy = -5.85 eV/atom
SG = Cmmm (65)
Formation energy without anion corrections = -10.270 eV per formula unit



5.
Co2BiAu2: optimized geometry, GGA-PBE.

```
Co2BiAu2
1.0
-2.821 1.790 -0.448
-0.221 -1.140 -3.164
-6.014 -6.099 0.822
Co Au Bi
2 2 1
direct
0.750 0.250 0.500
0.250 0.750 0.500
0.376 0.376 0.248
0.624 0.624 0.752
0.000 0.000 0.000
```

Output
Polymorph energy (0 for the lowest one) = 19.8 meV/atom
Volume = 18.8 Å³ per atom
Uncorrected energy = -4.61 eV/atom
SG = I4/mmm (139)



6.
CaTlSiTeSeF: optimized geometry, GGA-PBE.

```
CaTlSiTeSeF
1.0
4.580 -0.001 0.004
1.560 5.021 -0.001
1.699 1.839 7.836
F Ca Si Tl Te Se
1 1 1 1 1 1
direct
0.257 0.182 0.356
0.658 0.336 0.404
0.269 0.898 0.273
0.288 0.621 0.899
0.918 0.700 0.569
0.925 0.149 0.081
```

Output
Polymorph energy (0 for the lowest one) = 79.5 meV/atom
Volume = 30.0 Å³ per atom
Uncorrected energy = -4.23 eV/atom
SG = P1 (1)
Formation energy without anion corrections = -7.105 eV per formula unit